# 1
Ho3Cd2Ag2: optimized geometry, PBE.

a = 4.5128 Å, b = 21.7722 Å, c = 3.4412 Å
α = 90.00°, β = 90.00°, γ = 90.00°
Last column: nearest neighbours and their distance in Å.
Space group Cmmm (No. 65)
Inequivalent atoms, fractional coordinates:
1 Ho 0.0000 0.0000 0.0000 [2 per cell]  8 Cd 3.29, 4 Ho 3.44-3.50
2 Ho 0.0000 0.1607 0.0000 [4 per cell]  6 Ag 3.06-3.24, 4 Cd 3.38
3 Cd 0.0000 0.4233 0.5000 [4 per cell]  1 Ag 2.97, 4 Ho 3.29
4 Ag 0.0000 0.2867 0.5000 [4 per cell]  2 Ag 2.77, 1 Cd 2.97, 4 Ho 3.06

***

# 2
Ho3Cd3Ag2: optimized geometry, PBE.

a = 7.6776 Å, b = 7.6776 Å, c = 3.8222 Å
α = 90.00°, β = 90.00°, γ = 120.00°
Last column: nearest neighbours and their distance in Å.
Space group P-62m (No. 189)
Inequivalent atoms, fractional coordinates:
1 Ho 0.0000 0.4105 0.0000 [3 per cell]  4 Ag 3.01, 6 Cd 3.34-3.36
2 Cd 0.0000 0.7703 0.5000 [3 per cell]  2 Ag 3.04, 2 Cd 3.05, 6 Ho 3.34-3.36
3 Ag 0.3333 0.6667 0.5000 [2 per cell]  6 Ho 3.01, 3 Cd 3.04

***

# 3
HoCd5Ag7: optimized geometry, PBE.

a = 5.6512 Å, b = 9.7376 Å, c = 9.7223 Å
α = 90.00°, β = 90.00°, γ = 90.00°
Last column: nearest neighbours and their distance in Å.
Space group Imm2 (No. 44)
Inequivalent atoms, fractional coordinates:
1 Ho 0.0000 0.0000 0.0000 [2 per cell]  10 Ag 3.36-3.53, 6 Cd 3.53-3.61
2 Cd 0.0000 0.5000 0.2827 [2 per cell]  4 Cd 2.89, 6 Ag 2.90-3.22
3 Cd 0.2500 0.2450 0.2374 [8 per cell]  7 Ag 2.81-2.98, 3 Cd 2.83-2.89
4 Ag 0.0000 0.0000 0.3456 [2 per cell]  5 Ag 2.96-3.20, 4 Cd 2.97
5 Ag 0.0000 0.0000 0.6505 [2 per cell]  3 Ag 2.96-3.18, 6 Cd 2.98-3.10
6 Ag 0.0000 0.2832 0.4876 [4 per cell]  5 Cd 2.82-2.90, 4 Ag 2.90-3.10
7 Ag 0.0000 0.3486 0.9878 [4 per cell]  4 Ag 2.95-3.23, 5 Cd 2.96-3.22
8 Ag 0.0000 0.5000 0.6920 [2 per cell]  4 Cd 2.81, 2 Ag 2.90

***

# 4
HoCd6Ag2: optimized geometry, PBE.

Results
ΔE to the lowest computed polymorph, eV per formula unit: 0.13

a = 15.0343 Å, b = 8.3647 Å, c = 3.2598 Å
α = 90.00°, β = 102.36°, γ = 90.00°
Last column: nearest neighbours and their distance in Å.
Space group C2/m (No. 12)
Inequivalent atoms, fractional coordinates:
1 Ho 0.0000 0.0000 0.0000 [2 per cell]  12 Cd 3.21-3.38, 2 Ho 3.26
2 Cd 0.0000 0.3307 0.5000 [4 per cell]  3 Cd 2.83-2.88, 4 Ag 3.05
3 Cd 0.1752 0.1758 0.6746 [8 per cell]  4 Cd 2.88-3.01, 3 Ag 3.01-3.20
4 Ag 0.1463 0.5000 0.1441 [4 per cell]  10 Cd 3.01-3.20, 2 Ag 3.26

***

# 5
Ho3Cd2Ag3: optimized geometry, PBE.

Results
ΔE to the lowest computed polymorph, eV per formula unit: 0.59

a = 7.4528 Å, b = 7.4528 Å, c = 3.9966 Å
α = 90.00°, β = 90.00°, γ = 120.00°
Last column: nearest neighbours and their distance in Å.
Space group P-62m (No. 189)
Inequivalent atoms, fractional coordinates:
1 Ho 0.0000 0.6358 0.0000 [3 per cell]  4 Cd 3.11, 4 Ag 3.11
2 Cd 0.3333 0.6667 0.5000 [2 per cell]  3 Ag 2.93, 6 Ho 3.11
3 Ag 0.0000 0.2326 0.5000 [3 per cell]  2 Cd 2.93, 2 Ag 3.00, 4 Ho 3.11

***

# 6
Ho6CdAg: optimized geometry, PBE.

Results
ΔE to the lowest computed polymorph, eV per formula unit: 0.00

a = 5.0379 Å, b = 5.0379 Å, c = 17.6874 Å
α = 90.00°, β = 90.00°, γ = 90.00°
Last column: nearest neighbours and their distance in Å.
Space group I4/mmm (No. 139)
Inequivalent atoms, fractional coordinates:
1 Ho 0.0000 0.0000 0.2489 [4 per cell]  12 Ho 3.50-3.56
2 Ho 0.0000 0.5000 0.1113 [8 per cell]  2 Cd 3.20, 2 Ag 3.20, 8 Ho 3.50-3.56
3 Cd 0.0000 0.0000 0.0000 [2 per cell]  8 Ho 3.20, 4 Ag 3.56
4 Ag 0.0000 0.0000 0.5000 [2 per cell]  8 Ho 3.20, 4 Cd 3.56

***

What are the ρ values for these records? In order: 9.19 8.92 9.20 8.75 9.01 8.95 g/cm³.
What are the calculated formation energy values for these records? In order: -0.2743 -0.2890 -0.0487 -0.0793 -0.1914 -0.1376 eV/atom.